Entry 1:
# Pu3Hf2PaP6 | Alexandria | GGA-PBE | optimized geometry
data_Pu3Hf2PaP6
_space_group_name_H-M_alt 'C 1 2/m 1'
_space_group_IT_number 12
_space_group_name_Hall '-C 2y'
_cell_length_a 6.731
_cell_length_b 11.670
_cell_length_c 6.736
_cell_angle_alpha 90.00
_cell_angle_beta 109.58
_cell_angle_gamma 90.00
loop_
_atom_site_label
_atom_site_fract_x
_atom_site_fract_y
_atom_site_fract_z
_atom_site_occupancy
Pu1 0.000 0.000 0.000 1
Pu2 0.000 0.336 0.000 1
Hf1 0.000 0.168 0.500 1
Pa1 0.000 0.500 0.500 1
P1 0.236 0.000 0.734 1
P2 0.250 0.172 0.262 1
# energy of formation = -1.260 eV/atom
# final energy = -0.3674 hartree per atom
# V = 20.77 Å³ per atom
# N(E_F) = 2.3967 states/eV/atom
# magnetization = 5.26 μB/f.u.



Entry 2:
# PuHf2PaP4 | Alexandria | GGA-PBE | optimized geometry
data_PuHf2PaP4
_space_group_name_H-M_alt 'P 1 2/m 1'
_space_group_IT_number 10
_space_group_name_Hall '-P 2y'
_cell_length_a 6.619
_cell_length_b 3.839
_cell_length_c 6.647
_cell_angle_alpha 90.00
_cell_angle_beta 109.54
_cell_angle_gamma 90.00
loop_
_atom_site_label
_atom_site_fract_x
_atom_site_fract_y
_atom_site_fract_z
_atom_site_occupancy
Pu1 0.000 0.000 0.000 1
Hf1 0.500 0.000 0.500 1
Hf2 0.500 0.500 0.000 1
Pa1 0.000 0.500 0.500 1
P1 0.266 0.500 0.256 1
P2 0.268 0.000 0.756 1
# energy of formation = -1.309 eV/atom
# final energy = -0.3484 hartree per atom
# V = 19.90 Å³ per atom
# N(E_F) = 1.2395 states/eV/atom
# magnetization = 5.16 μB/f.u.



Entry 3:
# HfPaPS | Alexandria | GGA-PBE | optimized geometry
data_HfPaPS
_space_group_name_H-M_alt 'R 3 m'
_space_group_IT_number 160
_space_group_name_Hall 'R 3 -2"'
_cell_length_a 3.6440
_cell_length_b 3.6440
_cell_length_c 20.5763
_cell_angle_alpha 90.00
_cell_angle_beta 90.00
_cell_angle_gamma 120.00
loop_
_atom_site_label
_atom_site_fract_x
_atom_site_fract_y
_atom_site_fract_z
_atom_site_occupancy
Hf1 0.0000 0.0000 0.0000 1
Pa1 0.0000 0.0000 0.8228 1
P1 0.0000 0.0000 0.4034 1
S1 0.0000 0.0000 0.5860 1
# raw formation energy = -1.3240 eV per atom
# final energy = -0.3150 hartree per atom
# V = 19.72 Å³ per atom
# N(E_F) = 1.0979 states/eV/atom
# magnetization = 0.00 μB/f.u.



What is the N(E_F) in the third record?
1.0979 states/eV/atom



Which value of magnetization does entry 1 give?
5.26 μB/f.u.



Number 2 is which compound?
PuHf2PaP4



Among the records above, which one has the highest magnetization?
Pu3Hf2PaP6